# 1
# CaRhBr2

A relaxed CaRhBr2 crystal (GGA-PBE, the Alexandria database).

abc: 3.6451 3.6451 7.8809
angles: 90.00 90.00 90.00
With the nearest neighbours (Å) after each atom.
Atoms (fractional coordinates):
Ca (0.0000, 0.0000, 0.0000)  5 Br 2.79-2.98
Rh (0.5000, 0.5000, 0.2836)  4 Br 2.64
Br (0.0000, 0.0000, 0.3538)  4 Rh 2.64, 1 Ca 2.79
Br (0.5000, 0.5000, 0.8093)  4 Ca 2.98

- D(E_F) (states/eV/cell) = 1.961
- calculated volume (Å³/f.u.) = 105
- size of the total moment (μB/atom) = 0.027
- formation energy (no corrections) (eV/f.u.) = -2.83
- energy above the lowest structure with this stoichiometry (eV per atom) = 0.1115


# 2
# Tl2GaBr5

A relaxed Tl2GaBr5 crystal (GGA-PBE, the Alexandria database).

abc: 7.5364 7.5364 7.5364
angles: 118.81 118.81 92.08
With the nearest neighbours (Å) after each atom.
Atoms (fractional coordinates):
Tl (0.0000, 0.5000, 0.5000)  4 Br 3.34
Tl (0.5000, 0.0000, 0.5000)  4 Br 3.34
Ga (0.2373, 0.2373, 0.0000)  5 Br 2.38-2.53
Br (0.4116, 0.4116, 0.4542)  1 Ga 2.53
Br (0.4116, 0.9573, 0.0000)  1 Ga 2.53
Br (0.4643, 0.4643, 0.0000)  1 Ga 2.38
Br (0.9573, 0.4116, 0.0000)  1 Ga 2.53
Br (0.9573, 0.9573, 0.5458)  1 Ga 2.53

- D(E_F) (states/eV/cell) = 0.000
- calculated volume (Å³/f.u.) = 308
- size of the total moment (μB/atom) = 0.000
- formation energy (no corrections) (eV/f.u.) = -6.45


# 3
# Be3FeAu

A relaxed Be3FeAu crystal (GGA-PBE, the Alexandria database).

abc: 4.2656 4.2656 4.2656
angles: 90.00 90.00 90.00
With the nearest neighbours (Å) after each atom.
Atoms (fractional coordinates):
Be (0.0000, 0.0000, 0.5000)  2 Au 2.13
Be (0.0000, 0.5000, 0.0000)  2 Au 2.13
Be (0.5000, 0.0000, 0.0000)  2 Au 2.13
Fe (0.5000, 0.5000, 0.5000)  12 Be 3.02
Au (0.0000, 0.0000, 0.0000)  6 Be 2.13

- calculated formation energy (meV per atom) = 870
- D(E_F) (states/eV/cell) = 4.996
- calculated volume (Å³/f.u.) = 78
- size of the total moment (μB/atom) = 0.637
- energy above the lowest structure with this stoichiometry (eV per atom) = 0.1666


# 4
# Tl2SiAgPt

A relaxed Tl2SiAgPt crystal (GGA-PBE, the Alexandria database).

abc: 5.1960 5.1960 5.2550
angles: 90.00 90.00 90.00
With the nearest neighbours (Å) after each atom.
Atoms (fractional coordinates):
Tl (0.0000, 0.5000, 0.0000)  2 Pt 2.60
Tl (0.5000, 0.0000, 0.0000)  2 Pt 2.60
Si (0.0000, 0.0000, 0.5000)  4 Ag 3.67, 8 Tl 3.70
Ag (0.5000, 0.5000, 0.5000)  2 Pt 2.63
Pt (0.5000, 0.5000, 0.0000)  4 Tl 2.60, 2 Ag 2.63

- D(E_F) (states/eV/cell) = 3.179
- calculated volume (Å³/f.u.) = 142
- size of the total moment (μB/atom) = 0.000
- formation energy (no corrections) (eV/f.u.) = 3.07


# 5
# AcBi2Pt

A relaxed AcBi2Pt crystal (GGA-PBE, the Alexandria database).

abc: 3.7356 3.7356 8.1885
angles: 90.00 90.00 90.00
With the nearest neighbours (Å) after each atom.
Atoms (fractional coordinates):
Ac (0.0000, 0.0000, 0.0000)  8 Bi 3.65, 4 Ac 3.74
Bi (0.5000, 0.5000, 0.3075)  4 Pt 3.08, 1 Bi 3.15
Bi (0.5000, 0.5000, 0.6925)  4 Pt 3.08, 1 Bi 3.15
Pt (0.0000, 0.0000, 0.5000)  8 Bi 3.08

- calculated formation energy (meV per atom) = -199
- D(E_F) (states/eV/cell) = 3.099
- calculated volume (Å³/f.u.) = 114
- size of the total moment (μB/atom) = 0.000
- energy above the lowest structure with this stoichiometry (eV per atom) = 0.4693


# 6
# Mg3TiPb

A relaxed Mg3TiPb crystal (GGA-PBE, the Alexandria database).

abc: 5.3066 5.3066 5.3066
angles: 90.00 90.00 90.00
With the nearest neighbours (Å) after each atom.
Atoms (fractional coordinates):
Mg (0.0000, 0.0000, 0.5000)  2 Pb 2.65
Mg (0.0000, 0.5000, 0.0000)  2 Pb 2.65
Mg (0.5000, 0.0000, 0.0000)  2 Pb 2.65
Ti (0.5000, 0.5000, 0.5000)  12 Mg 3.75
Pb (0.0000, 0.0000, 0.0000)  6 Mg 2.65

- calculated formation energy (meV per atom) = 941
- D(E_F) (states/eV/cell) = 5.795
- calculated volume (Å³/f.u.) = 149
- size of the total moment (μB/atom) = 0.001
- energy above the lowest structure with this stoichiometry (eV per atom) = 0.1074